KTlHg2Pb, relaxed, DFT PBE-GGA; formation energy from the elements = 67 meV per atom; space group = P4/mmm, No. 123
1.0
6.0799 0.0000 0.0000
0.0000 6.0799 0.0000
0.0000 0.0000 5.9681
K Tl Hg Pb
1 1 2 1
Direct
0.0000 0.0000 0.0000 K
0.5000 0.5000 0.0000 Tl
0.0000 0.5000 0.5000 Hg
0.5000 0.0000 0.5000 Hg
0.5000 0.5000 0.5000 Pb

NbCrFe3, relaxed, DFT PBE-GGA; offset from the most stable computed form = 0.0 meV/atom; formation energy from the elements = 948 meV per atom; space group = Pm-3m, No. 221
1.0
4.1533 0.0000 0.0000
0.0000 4.1533 0.0000
0.0000 0.0000 4.1533
Nb Cr Fe
1 1 3
Direct
0.0000 0.0000 0.0000 Nb
0.5000 0.5000 0.5000 Cr
0.0000 0.5000 0.5000 Fe
0.5000 0.0000 0.5000 Fe
0.5000 0.5000 0.0000 Fe

HfOsI3, relaxed, DFT PBE-GGA; formation energy from raw total energies = 1.1212 eV/atom; offset from the most stable computed form = 0.0 meV/atom; space group = Pm-3m, No. 221
1.0
5.2836 0.0000 0.0000
0.0000 5.2836 0.0000
0.0000 0.0000 5.2836
Hf Os I
1 1 3
Direct
0.0000 0.0000 0.0000 Hf
0.5000 0.5000 0.5000 Os
0.0000 0.5000 0.5000 I
0.5000 0.0000 0.5000 I
0.5000 0.5000 0.0000 I

NaLi2PtO4, relaxed, DFT PBE-GGA; formation energy from raw total energies = -1.0116 eV/atom; space group = I222, No. 23
1.0
-2.5895 2.7653 3.4731
2.5895 -2.7653 3.4731
2.5895 2.7653 -3.4731
Na Li Pt O
1 2 1 4
Direct
0.0000 0.0000 0.0000 Na
0.2481 0.7481 0.5000 Li
0.7519 0.2519 0.5000 Li
0.5000 0.5000 0.0000 Pt
0.1340 0.1599 0.5573 O
0.3974 0.8401 0.9741 O
0.6026 0.5767 0.4427 O
0.8660 0.4233 0.0259 O

KYH3, relaxed, DFT PBE-GGA; offset from the most stable computed form = 747.6 meV/atom; space group = Pm-3m, No. 221
1.0
4.3228 0.0000 0.0000
0.0000 4.3228 0.0000
0.0000 0.0000 4.3228
K Y H
1 1 3
Direct
0.0000 0.0000 0.0000 K
0.5000 0.5000 0.5000 Y
0.0000 0.0000 0.5000 H
0.0000 0.5000 0.0000 H
0.5000 0.0000 0.0000 H

AcHo4Tm4, relaxed, DFT PBE-GGA; formation energy from the elements = 128 meV per atom; space group = C2/m, No. 12
1.0
3.1634 -8.5876 0.0000
3.1634 8.5876 0.0000
-1.9105 0.0000 10.6839
Ac Ho Tm
2 8 8
Direct
0.2199 0.2199 0.2744 Ac
0.7801 0.7801 0.7256 Ac
0.1669 0.7880 0.3352 Ho
0.2120 0.8331 0.6648 Ho
0.2269 0.2269 0.6141 Ho
0.2309 0.2309 0.9446 Ho
0.7691 0.7691 0.0554 Ho
0.7731 0.7731 0.3859 Ho
0.7880 0.1669 0.3352 Ho
0.8331 0.2120 0.6648 Ho
0.1839 0.8161 0.0000 Tm
0.3515 0.6404 0.8400 Tm
0.3564 0.6436 0.5000 Tm
0.3596 0.6485 0.1600 Tm
0.6404 0.3515 0.8400 Tm
0.6436 0.3564 0.5000 Tm
0.6485 0.3596 0.1600 Tm
0.8161 0.1839 0.0000 Tm

Number 1: DOS at the Fermi energy 0.614 states/eV/atom, volume 44.12 A^3/atom. Number 2: DOS at the Fermi energy 1.341 states/eV/atom, volume 14.33 A^3/atom. Number 3: DOS at the Fermi energy 0.863 states/eV/atom, volume 29.50 A^3/atom. Number 4: DOS at the Fermi energy 0.131 states/eV/atom, volume 12.43 A^3/atom. Number 5: DOS at the Fermi energy 0.558 states/eV/atom, volume 16.16 A^3/atom. Number 6: DOS at the Fermi energy 1.353 states/eV/atom, volume 32.25 A^3/atom.